Pr2Ga4NiPt3: relaxed, PBE-GGA.

N(E_F): 9.76 states/eV/cell
formation enthalpy at 0 K: -0.866 eV per atom

Geometry as POSCAR:
```
Pr2Ga4NiPt3
1.0
4.301 0.000 0.000
0.000 4.301 0.000
0.000 0.000 10.392
Pt Ga Pr Ni
3 4 2 1
Cartesian
2.150 0.000 8.992
0.000 2.150 1.399
0.000 0.000 5.196
2.150 0.000 6.469
0.000 0.000 0.000
0.000 2.150 3.922
2.150 2.150 0.000
0.000 2.150 7.774
2.150 0.000 2.617
2.150 2.150 5.196
```